Entry 1:
! Eu2YAu, relaxed, DFT PBE; values from VASP
&SYSTEM
  ibrav = 0, nat = 4, ntyp = 3
/
ATOMIC_SPECIES
Eu 151.96 Eu.upf
Y 88.91 Y.upf
Au 196.97 Au.upf
ATOMIC_POSITIONS crystal
Eu 0.000 0.000 0.200
Eu 0.000 0.000 0.800
Y 0.500 0.500 0.500
Au 0.500 0.500 0.000
CELL_PARAMETERS angstrom
3.753 0.000 0.000
0.000 3.753 0.000
0.000 0.000 9.004
! final energy	-31.6	eV/f.u.
! E_form	-1.304	eV per formula unit
! size of the total moment	15.1	μB/f.u.


Entry 2:
! EuYAu, relaxed, DFT PBE; values from VASP
&SYSTEM
  ibrav = 0, nat = 3, ntyp = 3
/
ATOMIC_SPECIES
Y 88.91 Y.upf
Eu 151.96 Eu.upf
Au 196.97 Au.upf
ATOMIC_POSITIONS crystal
Y 0.295 0.295 0.591
Eu 0.024 0.024 0.047
Au 0.681 0.681 0.362
CELL_PARAMETERS angstrom
-0.014 -1.092 -3.532
3.689 0.240 -0.088
-1.389 -5.768 3.724
! final energy	-21.6	eV/f.u.
! E_form	-1.606	eV per formula unit
! size of the total moment	7.2	μB/f.u.


Entry 3:
! EuYAu, relaxed, DFT PBE; values from VASP
&SYSTEM
  ibrav = 0, nat = 3, ntyp = 3
/
ATOMIC_SPECIES
Eu 151.96 Eu.upf
Y 88.91 Y.upf
Au 196.97 Au.upf
ATOMIC_POSITIONS crystal
Eu 0.000 0.000 0.000
Y 0.500 0.500 0.500
Au 0.250 0.250 0.250
CELL_PARAMETERS angstrom
-1.247 -1.352 4.746
3.467 -2.187 3.018
1.907 2.566 3.961
! final energy	-21.2	eV/f.u.
! E_form	-1.234	eV per formula unit
! size of the total moment	7.3	μB/f.u.


Entry 4:
! EuYZnAu, relaxed, DFT PBE; values from VASP
&SYSTEM
  ibrav = 0, nat = 4, ntyp = 4
/
ATOMIC_SPECIES
Y 88.91 Y.upf
Zn 65.41 Zn.upf
Eu 151.96 Eu.upf
Au 196.97 Au.upf
ATOMIC_POSITIONS crystal
Y 0.750 0.750 0.750
Zn 0.000 0.000 0.000
Eu 0.250 0.250 0.250
Au 0.500 0.500 0.500
CELL_PARAMETERS angstrom
5.181 0.000 0.000
2.591 4.487 0.000
2.591 1.496 4.230
! final energy	-23.4	eV/f.u.
! E_form	-2.111	eV per formula unit
! size of the total moment	7.2	μB/f.u.


Entry 5:
! EuZnAu3, relaxed, DFT PBE; values from VASP
&SYSTEM
  ibrav = 0, nat = 5, ntyp = 3
/
ATOMIC_SPECIES
Au 196.97 Au.upf
Eu 151.96 Eu.upf
Zn 65.41 Zn.upf
ATOMIC_POSITIONS crystal
Au 0.000 0.000 0.500
Au 0.500 0.000 0.000
Au 0.000 0.500 0.000
Eu 0.500 0.500 0.500
Zn 0.000 0.000 0.000
CELL_PARAMETERS angstrom
4.939 0.000 0.000
0.000 4.939 0.000
0.000 0.000 4.939
! final energy	-23.0	eV/f.u.
! E_form	-1.612	eV per formula unit
! size of the total moment	7.2	μB/f.u.


Entry 6:
! EuZnAu, relaxed, DFT PBE; values from VASP
&SYSTEM
  ibrav = 0, nat = 3, ntyp = 3
/
ATOMIC_SPECIES
Eu 151.96 Eu.upf
Zn 65.41 Zn.upf
Au 196.97 Au.upf
ATOMIC_POSITIONS crystal
Eu 0.667 0.333 0.667
Zn 0.166 0.667 0.333
Au 0.167 0.000 0.000
CELL_PARAMETERS angstrom
3.928 0.000 0.000
0.000 4.588 0.000
0.000 -2.294 3.973
! final energy	-16.6	eV/f.u.
! E_form	-1.815	eV per formula unit
! size of the total moment	7.2	μB/f.u.


Entry 7:
! EuZnAu, relaxed, DFT PBE; values from VASP
&SYSTEM
  ibrav = 0, nat = 12, ntyp = 3
/
ATOMIC_SPECIES
Zn 65.41 Zn.upf
Eu 151.96 Eu.upf
Au 196.97 Au.upf
ATOMIC_POSITIONS crystal
Zn 0.750 0.820 0.920
Zn 0.250 0.180 0.080
Zn 0.750 0.320 0.580
Zn 0.250 0.680 0.420
Eu 0.250 0.505 0.798
Eu 0.250 0.005 0.702
Eu 0.750 0.495 0.202
Eu 0.750 0.995 0.298
Au 0.750 0.708 0.593
Au 0.750 0.208 0.907
Au 0.250 0.292 0.407
Au 0.250 0.792 0.093
CELL_PARAMETERS angstrom
-1.920 -0.237 -4.230
3.120 -6.628 -1.045
-6.442 -3.525 3.123
! final energy	-16.7	eV/f.u.
! E_form	-1.871	eV per formula unit
! size of the total moment	7.2	μB/f.u.


Entry 8:
! EuZnAu, relaxed, DFT PBE; values from VASP
&SYSTEM
  ibrav = 0, nat = 3, ntyp = 3
/
ATOMIC_SPECIES
Au 196.97 Au.upf
Zn 65.41 Zn.upf
Eu 151.96 Eu.upf
ATOMIC_POSITIONS crystal
Au 0.641 0.641 0.283
Zn 0.257 0.257 0.513
Eu 0.952 0.952 0.904
CELL_PARAMETERS angstrom
-1.080 0.391 3.431
-3.031 -1.830 -0.746
4.431 -3.726 -0.089
! final energy	-16.3	eV/f.u.
! E_form	-1.428	eV per formula unit
! size of the total moment	7.1	μB/f.u.